BaP2AuCl | PBE | relaxed

abc: 4.735 4.735 6.321
angles: 90.00 90.00 90.00
Space group P4/mmm (No. 123)
Symmetry-distinct sites (fractional):
Ba (0.000, 0.000, 0.000) (multiplicity 1)
P (0.000, 0.500, 0.500) (multiplicity 2)
Au (0.500, 0.500, 0.500) (multiplicity 1)
Cl (0.500, 0.500, 0.000) (multiplicity 1)

Calculated values
Its formation energy without anion corrections is -327 meV/atom. The energy above the most stable polymorph in this dataset is 0.0 meV/atom.



Ga2BiAu10 | PBE | relaxed

abc: 6.090 6.871 6.931
angles: 80.48 70.00 70.21
Space group P-1 (No. 2)
Symmetry-distinct sites (fractional):
Ga (0.000, 0.000, 0.000) (multiplicity 1)
Ga (0.500, 0.000, 0.000) (multiplicity 1)
Bi (0.000, 0.000, 0.500) (multiplicity 1)
Au (0.000, 0.500, 0.500) (multiplicity 1)
Au (0.077, 0.656, 0.843) (multiplicity 2)
Au (0.265, 0.217, 0.746) (multiplicity 2)
Au (0.332, 0.667, 0.142) (multiplicity 2)
Au (0.435, 0.205, 0.300) (multiplicity 2)
Au (0.500, 0.500, 0.500) (multiplicity 1)

Calculated values
The value obtained for the energy of formation from the pure elements is -18 meV/atom.



AcCdGaAu2 | PBE | relaxed

abc: 4.341 4.341 12.771
angles: 90.00 90.00 90.00
Space group I-4m2 (No. 119)
Symmetry-distinct sites (fractional):
Ac (0.000, 0.000, 0.000) (multiplicity 2)
Cd (0.000, 0.500, 0.750) (multiplicity 2)
Ga (0.000, 0.500, 0.250) (multiplicity 2)
Au (0.000, 0.000, 0.390) (multiplicity 4)

Calculated values
The value obtained for the energy of formation from the pure elements is -574 meV/atom.



AcPu2PbO8 | PBE | relaxed

abc: 5.606 5.606 10.798
angles: 90.00 90.00 90.00
Space group I-4m2 (No. 119)
Symmetry-distinct sites (fractional):
Ac (0.000, 0.000, 0.000) (multiplicity 2)
Pu (0.000, 0.000, 0.500) (multiplicity 2)
Pu (0.000, 0.500, 0.750) (multiplicity 2)
Pb (0.000, 0.500, 0.250) (multiplicity 2)
O (0.217, 0.248, 0.626) (multiplicity 16)

Calculated values
Its formation energy without anion corrections is -2482 meV/atom.



Ba2FeW | PBE | relaxed

abc: 3.185 4.999 6.849
angles: 90.00 90.00 90.00
Space group Pmmm (No. 47)
Symmetry-distinct sites (fractional):
Ba (0.000, 0.000, 0.247) (multiplicity 2)
Fe (0.500, 0.500, 0.000) (multiplicity 1)
W (0.500, 0.500, 0.500) (multiplicity 1)

Calculated values
The value obtained for the energy of formation from the pure elements is 1507 meV/atom. The energy above the most stable polymorph in this dataset is 936.5 meV/atom.



NaCrHg2 | PBE | relaxed

abc: 4.638 4.638 19.702
angles: 90.00 90.00 90.00
Space group I-42d (No. 122)
Symmetry-distinct sites (fractional):
Na (0.000, 0.000, 0.000) (multiplicity 4)
Cr (0.000, 0.000, 0.500) (multiplicity 4)
Hg (0.222, 0.250, 0.625) (multiplicity 8)

Calculated values
The value obtained for the energy of formation from the pure elements is 414 meV/atom.



AcTb2Al | PBE | relaxed

abc: 5.1079 5.1079 17.8068
angles: 90.00 90.00 120.00
Space group R3m (No. 160, hexagonal axes)
Symmetry-distinct sites (fractional):
Ac (0.0000, 0.0000, 0.0000) (multiplicity 3)
Tb (0.0000, 0.0000, 0.5514) (multiplicity 3)
Tb (0.0000, 0.0000, 0.7875) (multiplicity 3)
Al (0.0000, 0.0000, 0.1948) (multiplicity 3)

Calculated values
The value obtained for the energy of formation from the pure elements is 24 meV/atom. The energy above the most stable polymorph in this dataset is 177.1 meV/atom.



LuPu | PBE | relaxed

abc: 3.176 3.588 8.494
angles: 90.00 92.36 90.00
Space group P2_1/m (No. 11)
Symmetry-distinct sites (fractional):
Lu (0.239, 0.250, 0.348) (multiplicity 2)
Pu (0.354, 0.250, 0.932) (multiplicity 2)

Calculated values
The value obtained for the energy of formation from the pure elements is 201 meV/atom. The energy above the most stable polymorph in this dataset is 0.0 meV/atom.